1.
{"formula": "Zr2Bi2Pd", "functional": "PBE", "state": "optimized geometry", "lattice": [[-6.464, -3.093, 0.885], [-5.417, 2.717, 3.926], [4.806, 1.793, -5.081]], "species": ["Bi", "Bi", "Pd", "Zr", "Zr"], "fractional_positions": [[0.385, 0.385, 0.000], [0.615, 0.615, 0.000], [0.000, 0.000, 0.000], [0.750, 0.250, 0.500], [0.250, 0.750, 0.500]], "total_energy_ev_per_atom": -5.72}

***

2.
{"formula": "TmAgIr", "functional": "PBE", "state": "optimized geometry", "lattice": [[0.000, 3.233, 3.233], [3.233, 0.000, 3.233], [3.233, 3.233, 0.000]], "species": ["Ag", "Ir", "Tm"], "fractional_positions": [[0.250, 0.250, 0.250], [0.750, 0.750, 0.750], [0.000, 0.000, 0.000]], "formation_energy_ev_per_atom": 0.14}

***

3.
{"formula": "Tb2Si4PdPt", "functional": "PBE", "state": "optimized geometry", "lattice": [[-2.207, -3.520, -0.034], [-6.077, 3.759, 5.101], [-7.364, 4.604, 1.285]], "species": ["Pd", "Pt", "Si", "Si", "Si", "Si", "Tb", "Tb"], "fractional_positions": [[0.000, 0.674, 0.674], [0.500, 0.325, 0.325], [0.000, 0.251, 0.251], [0.500, 0.465, 0.465], [0.000, 0.534, 0.534], [0.500, 0.749, 0.749], [0.500, 0.102, 0.102], [0.000, 0.900, 0.900]], "total_energy_ev_per_atom": -6.17}

***

Number 1: V 28.3 Å³ per atom. Number 2: V 22.5 Å³ per atom. Number 3: V 18.2 Å³ per atom.